Entry 1:
A geometry-optimized TaTe2MoN structure, computed with PBE.

Output
Formation energy from raw total energies, eV per atom: 0.62
Density of states at the Fermi level, states/eV/f.u.: 2.14

Unit cell a=5.539 b=5.539 c=3.880 alpha=90.00 beta=90.00 gamma=90.00
Each line ends with the local moment (μB).
Fractional positions:
N  0.000  0.000  0.500  -0.03
Te  0.500  0.000  0.000  -0.12
Te  0.000  0.500  0.000  -0.12
Ta  0.000  0.000  0.000  0.12
Mo  0.500  0.500  0.500  3.36


Entry 2:
A geometry-optimized Co2IrS structure, computed with PBE.

Output
Formation energy from raw total energies, eV per atom: 0.48
Density of states at the Fermi level, states/eV/f.u.: 3.58

Unit cell a=4.771 b=4.771 c=6.615 alpha=68.86 beta=68.86 gamma=90.00
Fractional positions:
S  0.250  0.750  0.500
S  0.500  0.500  0.000
Co  0.587  0.125  0.250
Co  0.163  0.625  0.250
Co  0.875  0.837  0.750
Co  0.375  0.413  0.750
Ir  0.750  0.250  0.500
Ir  0.000  0.000  0.000


Entry 3:
A geometry-optimized Ac2La structure, computed with PBE.

Output
Formation energy, eV/atom: 0.274
Density of states at the Fermi level, states/eV/f.u.: 4.40

Unit cell a=7.226 b=7.226 c=7.226 alpha=60.00 beta=60.00 gamma=60.00
Fractional positions:
Ac  0.125  0.625  0.625
Ac  0.625  0.125  0.625
Ac  0.625  0.625  0.125
Ac  0.625  0.625  0.625
La  0.250  0.250  0.250
La  0.000  0.000  0.000


Entry 4:
A geometry-optimized PrSmAlPd structure, computed with PBE.

Output
Formation energy, eV/atom: -0.467
Density of states at the Fermi level, states/eV/f.u.: 3.80

Unit cell a=5.223 b=5.223 c=5.223 alpha=60.00 beta=60.00 gamma=60.00
Fractional positions:
Sm  0.750  0.750  0.750
Pd  0.000  0.000  0.000
Pr  0.250  0.250  0.250
Al  0.500  0.500  0.500


Entry 5:
A geometry-optimized Rb2GeBrF6 structure, computed with PBE.

Output
Formation energy from raw total energies, eV per atom: -2.30
Density of states at the Fermi level, states/eV/f.u.: 0.00

Unit cell a=6.902 b=6.902 c=6.603 alpha=58.49 beta=58.49 gamma=90.00
Each line ends with the local moment (μB).
Fractional positions:
F  0.687  0.313  0.000  0.01
F  0.708  0.708  0.584  0.05
F  0.313  0.313  0.000  0.01
F  0.687  0.687  0.000  0.01
F  0.313  0.687  0.000  0.01
F  0.292  0.292  0.416  0.05
Br  0.000  0.000  0.000  0.63
Rb  0.250  0.750  0.500  0.00
Rb  0.750  0.250  0.500  0.00
Ge  0.500  0.500  0.000  0.01


Entry 6:
A geometry-optimized NdY5Tm5 structure, computed with PBE.

Output
Formation energy, eV/atom: 0.286
Density of states at the Fermi level, states/eV/f.u.: 17.59

Unit cell a=5.882 b=9.858 c=6.928 alpha=109.94 beta=90.00 gamma=107.36
Each line ends with the local moment (μB).
Fractional positions:
Y  0.500  0.000  0.000  0.20
Y  0.180  0.360  0.427  0.01
Y  0.180  0.359  0.934  0.01
Y  0.820  0.641  0.066  0.01
Y  0.820  0.640  0.573  0.01
Tm  0.377  0.753  0.373  0.01
Tm  0.000  0.000  0.500  0.02
Tm  0.331  0.663  0.828  0.03
Tm  0.669  0.337  0.172  0.03
Tm  0.623  0.247  0.627  0.01
Nd  0.000  0.000  0.000  0.17


Entry 7:
A geometry-optimized SrZn2In2 structure, computed with PBE.

Output
Formation energy, eV/atom: -0.047
Density of states at the Fermi level, states/eV/f.u.: 2.87

Unit cell a=8.471 b=8.471 c=3.504 alpha=90.00 beta=90.00 gamma=90.00
Fractional positions:
Zn  0.334  0.166  0.500
Zn  0.666  0.834  0.500
Zn  0.166  0.666  0.500
Zn  0.834  0.334  0.500
In  0.371  0.871  0.000
In  0.871  0.629  0.000
In  0.129  0.371  0.000
In  0.629  0.129  0.000
Sr  0.500  0.500  0.000
Sr  0.000  0.000  0.000


Entry 8:
A geometry-optimized ReRuSe2 structure, computed with PBE.

Output
Formation energy from raw total energies, eV per atom: 0.90
Density of states at the Fermi level, states/eV/f.u.: 3.69

Unit cell a=4.515 b=4.515 c=4.515 alpha=60.00 beta=60.00 gamma=60.00
Fractional positions:
Ru  0.750  0.750  0.750
Se  0.000  0.000  0.000
Se  0.250  0.250  0.250
Re  0.500  0.500  0.500


Entry 9:
A geometry-optimized Cd2C3 structure, computed with PBE.

Output
Formation energy, eV/atom: 1.307
Density of states at the Fermi level, states/eV/f.u.: 2.45

Unit cell a=2.660 b=2.660 c=13.017 alpha=90.00 beta=90.00 gamma=120.00
Fractional positions:
C  0.333  0.667  0.500
C  0.667  0.333  0.500
C  0.000  0.000  0.000
Cd  0.667  0.333  0.163
Cd  0.333  0.667  0.837


Entry 10:
A geometry-optimized SbMoBr2 structure, computed with PBE.

Output
Formation energy from raw total energies, eV per atom: 0.05
Density of states at the Fermi level, states/eV/f.u.: 3.79

Unit cell a=9.220 b=9.220 c=9.220 alpha=22.10 beta=22.10 gamma=22.10
Fractional positions:
Br  0.227  0.227  0.227
Br  0.012  0.012  0.012
Mo  0.499  0.499  0.499
Sb  0.761  0.761  0.761


Entry 11:
A geometry-optimized Ba2Ga3AgAu4 structure, computed with PBE.

Output
Formation energy, eV/atom: -0.523
Density of states at the Fermi level, states/eV/f.u.: 5.07

Unit cell a=4.727 b=4.727 c=10.807 alpha=90.00 beta=90.00 gamma=90.00
Fractional positions:
Au  0.000  0.500  0.360
Au  0.500  0.000  0.640
Au  0.500  0.500  0.000
Au  0.000  0.000  0.000
Ga  0.000  0.000  0.500
Ga  0.000  0.500  0.115
Ga  0.500  0.000  0.885
Ag  0.500  0.500  0.500
Ba  0.000  0.500  0.750
Ba  0.500  0.000  0.250


Entry 12:
A geometry-optimized BeMoOs2 structure, computed with PBE.

Output
Formation energy, eV/atom: 0.086
Density of states at the Fermi level, states/eV/f.u.: 4.23

Unit cell a=3.873 b=2.745 c=5.316 alpha=73.87 beta=90.00 gamma=90.00
Fractional positions:
Be  0.500  0.250  0.250
Os  0.000  0.403  0.475
Os  0.000  0.097  0.025
Mo  0.500  0.750  0.750


Entry 13:
A geometry-optimized AcErNi10 structure, computed with PBE.

Output
Formation energy, eV/atom: -0.269
Density of states at the Fermi level, states/eV/f.u.: 13.99

Unit cell a=3.972 b=4.965 c=8.642 alpha=90.00 beta=90.00 gamma=90.00
Each line ends with the local moment (μB).
Fractional positions:
Ni  0.500  0.745  0.740  0.37
Ni  0.500  0.500  0.000  0.34
Ni  0.000  0.000  0.657  0.29
Ni  0.500  0.000  0.500  0.40
Ni  0.000  0.500  0.821  0.28
Ni  0.000  0.500  0.179  0.28
Ni  0.500  0.255  0.260  0.37
Ni  0.500  0.255  0.740  0.37
Ni  0.000  0.000  0.343  0.29
Ni  0.500  0.745  0.260  0.37
Er  0.000  0.500  0.500  -0.09
Ac  0.000  0.000  0.000  -0.05


no.,total moment (μB per atom)
1,0.77
2,0.00
3,0.00
4,0.00
5,0.10
6,0.06
7,0.00
8,0.00
9,0.00
10,0.00
11,0.00
12,0.00
13,0.25